An optimized crystal structure of SmZr2Pt9. Source: the Alexandria database, functional PBE.

```
data_SmZr2Pt9
_space_group_name_H-M_alt 'P 1'
_space_group_IT_number 1
_cell_length_a 4.093
_cell_length_b 4.093
_cell_length_c 12.277
_cell_angle_alpha 90.00
_cell_angle_beta 90.00
_cell_angle_gamma 90.00
loop_
_space_group_symop_operation_xyz
'x,y,z'
loop_
_atom_site_label
_atom_site_fract_x
_atom_site_fract_y
_atom_site_fract_z
_atom_site_occupancy
Pt1 0.500 0.500 0.000 1
Zr1 0.000 0.000 0.335 1
Pt2 0.000 0.500 0.824 1
Sm1 0.000 0.000 0.000 1
Pt3 0.000 0.500 0.500 1
Pt4 0.500 0.000 0.500 1
Pt5 0.500 0.500 0.338 1
Pt6 0.500 0.000 0.824 1
Zr2 0.000 0.000 0.665 1
Pt7 0.500 0.000 0.176 1
Pt8 0.000 0.500 0.176 1
Pt9 0.500 0.500 0.662 1
```

For the calculated density, the calculation gives 16.86 Mg/m³. The magnetization comes out at 0.0 μB per formula unit. The formation energy comes out at -1.02 eV per atom.